A plane-wave DFT calculation with PBE was carried out for AlNiRu after structural relaxation.

a = 4.6916 Å, b = 4.6916 Å, c = 4.3569 Å
α = 98.96°, β = 98.96°, γ = 121.17°
Atoms (fractional coordinates):
Al: 0.0000 0.0000 0.0000
Al: 0.6663 0.3337 0.0000
Ni: 0.3440 0.6560 0.0000
Ni: 0.5029 0.4971 0.5000
Ru: 0.1762 0.8238 0.5000
Ru: 0.8362 0.1638 0.5000

Space-group type ... C2, No. 5
M_tot ... 0.00 μB/cell
Formation energy ... -0.300 eV/atom

***

A plane-wave DFT calculation with PBE was carried out for SrLi2SiRh2 after structural relaxation.

a = 4.5157 Å, b = 4.5157 Å, c = 6.1529 Å
α = 90.00°, β = 90.00°, γ = 90.00°
Atoms (fractional coordinates):
Sr: 0.0000 0.0000 0.0000
Li: 0.5000 0.5000 0.2769
Li: 0.5000 0.5000 0.7231
Si: 0.0000 0.0000 0.5000
Rh: 0.0000 0.5000 0.5000
Rh: 0.5000 0.0000 0.5000

Uncorrected formation energy ... -2.10 eV per formula unit
Space-group type ... P4/mmm, No. 123
M_tot ... 0.10 μB/cell

***

A plane-wave DFT calculation with PBE was carried out for Cr2CoHg after structural relaxation.

a = 2.6905 Å, b = 2.6905 Å, c = 8.4191 Å
α = 90.00°, β = 90.00°, γ = 111.82°
Atoms (fractional coordinates):
Cr: 0.0000 0.0000 0.0000
Cr: 0.5000 0.5000 0.2052
Co: 0.0000 0.0000 0.4265
Hg: 0.5000 0.5000 0.7066

Space-group type ... Cmm2, No. 35
M_tot ... 1.21 μB/cell
Formation energy ... 0.494 eV/atom